# PBE SrEu2As, relaxed
data_SrEu2As
_chemical_formula_sum 'Sr3 Eu6 As3'
_space_group_name_H-M_alt 'R -3 m'
_space_group_IT_number 166
_space_group_name_Hall '-R 3 2"'
_cell_length_a 4.2946
_cell_length_b 4.2946
_cell_length_c 33.6351
_cell_angle_alpha 90.00
_cell_angle_beta 90.00
_cell_angle_gamma 120.00
loop_
_atom_site_label
_atom_site_fract_x
_atom_site_fract_y
_atom_site_fract_z
Sr1 0.0000 0.0000 0.0000
Eu1 0.0000 0.0000 0.1177
As1 0.0000 0.0000 0.5000
# M_tot ... 3.74 μB/atom
# E_form ... -0.545 eV/atom
# Energy relative to the lowest polymorph listed for this composition ... 28 meV per atom
# Total energy ... -7.27 eV per atom

# PBE SrEuZnAs, relaxed
data_SrEuZnAs
_chemical_formula_sum 'Sr4 Eu4 Zn4 As4'
_space_group_name_H-M_alt 'F -4 3 m'
_space_group_IT_number 216
_space_group_name_Hall 'F -4 2 3'
_cell_length_a 7.587
_cell_length_b 7.587
_cell_length_c 7.587
_cell_angle_alpha 90.00
_cell_angle_beta 90.00
_cell_angle_gamma 90.00
loop_
_atom_site_label
_atom_site_fract_x
_atom_site_fract_y
_atom_site_fract_z
Sr1 0.000 0.000 0.000
Eu1 0.000 0.000 0.500
Zn1 0.250 0.250 0.750
As1 0.250 0.250 0.250
# M_tot ... 1.84 μB/atom
# E_form ... -0.614 eV/atom
# Total energy ... -5.08 eV per atom

# PBE Tb2EuAs, relaxed
data_Tb2EuAs
_chemical_formula_sum 'Tb6 Eu3 As3'
_space_group_name_H-M_alt 'R -3 m'
_space_group_IT_number 166
_space_group_name_Hall '-R 3 2"'
_cell_length_a 3.9033
_cell_length_b 3.9033
_cell_length_c 31.4171
_cell_angle_alpha 90.00
_cell_angle_beta 90.00
_cell_angle_gamma 120.00
loop_
_atom_site_label
_atom_site_fract_x
_atom_site_fract_y
_atom_site_fract_z
Tb1 0.0000 0.0000 0.1131
Eu1 0.0000 0.0000 0.0000
As1 0.0000 0.0000 0.5000
# M_tot ... 1.82 μB/atom
# E_form ... -0.497 eV/atom
# Total energy ... -6.54 eV per atom

# PBE TbEuAs, relaxed
data_TbEuAs
_chemical_formula_sum 'Tb1 Eu1 As1'
_space_group_name_H-M_alt 'P 3 m 1'
_space_group_IT_number 156
_cell_length_a 4.7342
_cell_length_b 4.7342
_cell_length_c 4.7501
_cell_angle_alpha 90.00
_cell_angle_beta 90.00
_cell_angle_gamma 120.00
loop_
_space_group_symop_operation_xyz
'x,y,z'
'-y,x-y,z'
'-x+y,-x,z'
'-y,-x,z'
'-x+y,y,z'
'x,x-y,z'
loop_
_atom_site_label
_atom_site_fract_x
_atom_site_fract_y
_atom_site_fract_z
Tb1 0.0000 0.0000 0.0000
Eu1 0.3333 0.6667 0.5003
As1 0.6667 0.3333 0.1310
# M_tot ... 2.43 μB/atom
# E_form ... -0.663 eV/atom
# Total energy ... -7.18 eV per atom

# PBE TbEuAs2, relaxed
data_TbEuAs2
_chemical_formula_sum 'Tb3 Eu3 As6'
_space_group_name_H-M_alt 'R -3 m'
_space_group_IT_number 166
_space_group_name_Hall '-R 3 2"'
_cell_length_a 4.2045
_cell_length_b 4.2045
_cell_length_c 20.7659
_cell_angle_alpha 90.00
_cell_angle_beta 90.00
_cell_angle_gamma 120.00
loop_
_atom_site_label
_atom_site_fract_x
_atom_site_fract_y
_atom_site_fract_z
Tb1 0.0000 0.0000 0.0000
Eu1 0.0000 0.0000 0.5000
As1 0.0000 0.0000 0.2534
# M_tot ... 1.61 μB/atom
# E_form ... -1.309 eV/atom
# Total energy ... -7.36 eV per atom

# PBE Eu2TeAs, relaxed
data_Eu2TeAs
_chemical_formula_sum 'Eu6 Te3 As3'
_space_group_name_H-M_alt 'R -3 m'
_space_group_IT_number 166
_space_group_name_Hall '-R 3 2"'
_cell_length_a 4.4230
_cell_length_b 4.4230
_cell_length_c 22.0748
_cell_angle_alpha 90.00
_cell_angle_beta 90.00
_cell_angle_gamma 120.00
loop_
_atom_site_label
_atom_site_fract_x
_atom_site_fract_y
_atom_site_fract_z
Eu1 0.0000 0.0000 0.2424
Te1 0.0000 0.0000 0.0000
As1 0.0000 0.0000 0.5000
# Formation energy from raw total energies ... -1.40 eV/atom
# M_tot ... 3.26 μB/atom
# Total energy ... -8.49 eV per atom

# PBE EuTe2As, relaxed
data_EuTe2As
_chemical_formula_sum 'Eu3 Te6 As3'
_space_group_name_H-M_alt 'R -3 m'
_space_group_IT_number 166
_space_group_name_Hall '-R 3 2"'
_cell_length_a 4.1942
_cell_length_b 4.1942
_cell_length_c 28.6456
_cell_angle_alpha 90.00
_cell_angle_beta 90.00
_cell_angle_gamma 120.00
loop_
_atom_site_label
_atom_site_fract_x
_atom_site_fract_y
_atom_site_fract_z
Eu1 0.0000 0.0000 0.0000
Te1 0.0000 0.0000 0.1105
As1 0.0000 0.0000 0.5000
# Formation energy from raw total energies ... -0.19 eV/atom
# M_tot ... 1.91 μB/atom
# Total energy ... -5.49 eV per atom

# PBE Eu3Te12As5, relaxed
data_Eu3Te12As5
_chemical_formula_sum 'Eu24 Te96 As40'
_space_group_name_H-M_alt 'I a -3 d'
_space_group_IT_number 230
_space_group_name_Hall '-I 4bd 2c 3'
_cell_length_a 17.694
_cell_length_b 17.694
_cell_length_c 17.694
_cell_angle_alpha 90.00
_cell_angle_beta 90.00
_cell_angle_gamma 90.00
loop_
_atom_site_label
_atom_site_fract_x
_atom_site_fract_y
_atom_site_fract_z
Eu1 0.000 0.250 0.125
Te1 0.023 0.060 0.650
As1 0.000 0.000 0.000
As2 0.000 0.250 0.375
# Formation energy from raw total energies ... -0.40 eV/atom
# M_tot ... 1.00 μB/atom
# Total energy ... -4.99 eV per atom

# PBE EuThAs2, relaxed
data_EuThAs2
_chemical_formula_sum 'Eu3 Th3 As6'
_space_group_name_H-M_alt 'R -3 m'
_space_group_IT_number 166
_space_group_name_Hall '-R 3 2"'
_cell_length_a 4.3064
_cell_length_b 4.3064
_cell_length_c 21.0606
_cell_angle_alpha 90.00
_cell_angle_beta 90.00
_cell_angle_gamma 120.00
loop_
_atom_site_label
_atom_site_fract_x
_atom_site_fract_y
_atom_site_fract_z
Eu1 0.0000 0.0000 0.0000
Th1 0.0000 0.0000 0.5000
As1 0.0000 0.0000 0.2463
# M_tot ... 1.73 μB/atom
# E_form ... -1.398 eV/atom
# Total energy ... -8.15 eV per atom

# PBE EuTlAs4, relaxed
data_EuTlAs4
_chemical_formula_sum 'Eu4 Tl4 As16'
_space_group_name_H-M_alt 'F -4 3 m'
_space_group_IT_number 216
_space_group_name_Hall 'F -4 2 3'
_cell_length_a 8.260
_cell_length_b 8.260
_cell_length_c 8.260
_cell_angle_alpha 90.00
_cell_angle_beta 90.00
_cell_angle_gamma 90.00
loop_
_atom_site_label
_atom_site_fract_x
_atom_site_fract_y
_atom_site_fract_z
Eu1 0.000 0.000 0.000
Tl1 0.250 0.250 0.250
As1 0.119 0.119 0.619
# M_tot ... 1.14 μB/atom
# E_form ... -0.216 eV/atom
# Total energy ... -5.42 eV per atom

# PBE EuTmAs, relaxed
data_EuTmAs
_chemical_formula_sum 'Eu1 Tm1 As1'
_space_group_name_H-M_alt 'P 3 m 1'
_space_group_IT_number 156
_cell_length_a 4.7414
_cell_length_b 4.7414
_cell_length_c 4.4995
_cell_angle_alpha 90.00
_cell_angle_beta 90.00
_cell_angle_gamma 120.00
loop_
_space_group_symop_operation_xyz
'x,y,z'
'-y,x-y,z'
'-x+y,-x,z'
'-y,-x,z'
'-x+y,y,z'
'x,x-y,z'
loop_
_atom_site_label
_atom_site_fract_x
_atom_site_fract_y
_atom_site_fract_z
Eu1 0.0000 0.0000 0.0000
Tm1 0.3333 0.6667 0.4972
As1 0.6667 0.3333 0.5798
# M_tot ... 2.41 μB/atom
# E_form ... -0.665 eV/atom
# Total energy ... -7.13 eV per atom

# PBE EuTm2As, relaxed
data_EuTm2As
_chemical_formula_sum 'Eu3 Tm6 As3'
_space_group_name_H-M_alt 'R -3 m'
_space_group_IT_number 166
_space_group_name_Hall '-R 3 2"'
_cell_length_a 3.8210
_cell_length_b 3.8210
_cell_length_c 31.1737
_cell_angle_alpha 90.00
_cell_angle_beta 90.00
_cell_angle_gamma 120.00
loop_
_atom_site_label
_atom_site_fract_x
_atom_site_fract_y
_atom_site_fract_z
Eu1 0.0000 0.0000 0.0000
Tm1 0.0000 0.0000 0.1128
As1 0.0000 0.0000 0.5000
# M_tot ... 1.87 μB/atom
# E_form ... -0.452 eV/atom
# Total energy ... -6.42 eV per atom

# PBE EuUAs2, relaxed
data_EuUAs2
_chemical_formula_sum 'Eu1 U1 As2'
_space_group_name_H-M_alt 'P 4/m m m'
_space_group_IT_number 123
_space_group_name_Hall '-P 4 2'
_cell_length_a 3.569
_cell_length_b 3.569
_cell_length_c 7.284
_cell_angle_alpha 90.00
_cell_angle_beta 90.00
_cell_angle_gamma 90.00
loop_
_atom_site_label
_atom_site_fract_x
_atom_site_fract_y
_atom_site_fract_z
Eu1 0.000 0.000 0.000
U1 0.000 0.000 0.500
As1 0.500 0.500 0.271
# M_tot ... 2.24 μB/atom
# E_form ... -0.797 eV/atom
# Energy relative to the lowest polymorph listed for this composition ... 199 meV per atom
# Total energy ... -8.51 eV per atom

# PBE EuUAs2, relaxed
data_EuUAs2
_chemical_formula_sum 'Eu3 U3 As6'
_space_group_name_H-M_alt 'R -3 m'
_space_group_IT_number 166
_space_group_name_Hall '-R 3 2"'
_cell_length_a 4.1551
_cell_length_b 4.1551
_cell_length_c 21.0013
_cell_angle_alpha 90.00
_cell_angle_beta 90.00
_cell_angle_gamma 120.00
loop_
_atom_site_label
_atom_site_fract_x
_atom_site_fract_y
_atom_site_fract_z
Eu1 0.0000 0.0000 0.0000
U1 0.0000 0.0000 0.5000
As1 0.0000 0.0000 0.2431
# M_tot ... 1.21 μB/atom
# E_form ... -0.996 eV/atom
# Energy relative to the lowest polymorph listed for this composition ... 0 meV per atom
# Total energy ... -8.71 eV per atom

# PBE Eu2UAs, relaxed
data_Eu2UAs
_chemical_formula_sum 'Eu6 U3 As3'
_space_group_name_H-M_alt 'R -3 m'
_space_group_IT_number 166
_space_group_name_Hall '-R 3 2"'
_cell_length_a 3.6900
_cell_length_b 3.6900
_cell_length_c 32.4863
_cell_angle_alpha 90.00
_cell_angle_beta 90.00
_cell_angle_gamma 120.00
loop_
_atom_site_label
_atom_site_fract_x
_atom_site_fract_y
_atom_site_fract_z
Eu1 0.0000 0.0000 0.1061
U1 0.0000 0.0000 0.0000
As1 0.0000 0.0000 0.5000
# M_tot ... 2.56 μB/atom
# E_form ... 0.193 eV/atom
# Total energy ... -8.93 eV per atom

# PBE EuVAs2, relaxed
data_EuVAs2
_chemical_formula_sum 'Eu3 V3 As6'
_space_group_name_H-M_alt 'R -3 m'
_space_group_IT_number 166
_space_group_name_Hall '-R 3 2"'
_cell_length_a 3.8963
_cell_length_b 3.8963
_cell_length_c 19.4643
_cell_angle_alpha 90.00
_cell_angle_beta 90.00
_cell_angle_gamma 120.00
loop_
_atom_site_label
_atom_site_fract_x
_atom_site_fract_y
_atom_site_fract_z
Eu1 0.0000 0.0000 0.0000
V1 0.0000 0.0000 0.5000
As1 0.0000 0.0000 0.2333
# M_tot ... 2.01 μB/atom
# E_form ... -0.711 eV/atom
# Energy relative to the lowest polymorph listed for this composition ... 0 meV per atom
# Total energy ... -7.88 eV per atom

# PBE EuVAs2, relaxed
data_EuVAs2
_chemical_formula_sum 'Eu1 V1 As2'
_space_group_name_H-M_alt 'P 4/m m m'
_space_group_IT_number 123
_space_group_name_Hall '-P 4 2'
_cell_length_a 3.238
_cell_length_b 3.238
_cell_length_c 7.251
_cell_angle_alpha 90.00
_cell_angle_beta 90.00
_cell_angle_gamma 90.00
loop_
_atom_site_label
_atom_site_fract_x
_atom_site_fract_y
_atom_site_fract_z
Eu1 0.000 0.000 0.000
V1 0.000 0.000 0.500
As1 0.500 0.500 0.302
# M_tot ... 1.62 μB/atom
# E_form ... -0.491 eV/atom
# Energy relative to the lowest polymorph listed for this composition ... 220 meV per atom
# Total energy ... -7.66 eV per atom

# PBE EuYAs2, relaxed
data_EuYAs2
_chemical_formula_sum 'Eu3 Y3 As6'
_space_group_name_H-M_alt 'R -3 m'
_space_group_IT_number 166
_space_group_name_Hall '-R 3 2"'
_cell_length_a 4.1985
_cell_length_b 4.1985
_cell_length_c 20.7261
_cell_angle_alpha 90.00
_cell_angle_beta 90.00
_cell_angle_gamma 120.00
loop_
_atom_site_label
_atom_site_fract_x
_atom_site_fract_y
_atom_site_fract_z
Eu1 0.0000 0.0000 0.0000
Y1 0.0000 0.0000 0.5000
As1 0.0000 0.0000 0.2465
# M_tot ... 1.60 μB/atom
# E_form ... -1.317 eV/atom
# Total energy ... -7.83 eV per atom

# PBE Eu2ZnAs, relaxed
data_Eu2ZnAs
_chemical_formula_sum 'Eu2 Zn1 As1'
_space_group_name_H-M_alt 'P 4/m m m'
_space_group_IT_number 123
_space_group_name_Hall '-P 4 2'
_cell_length_a 5.067
_cell_length_b 5.067
_cell_length_c 4.003
_cell_angle_alpha 90.00
_cell_angle_beta 90.00
_cell_angle_gamma 90.00
loop_
_atom_site_label
_atom_site_fract_x
_atom_site_fract_y
_atom_site_fract_z
Eu1 0.000 0.500 0.000
Zn1 0.000 0.000 0.500
As1 0.500 0.500 0.500
# M_tot ... 3.53 μB/atom
# E_form ... -0.706 eV/atom
# Energy relative to the lowest polymorph listed for this composition ... 0 meV per atom
# Total energy ... -7.32 eV per atom

# PBE Eu2ZnAs, relaxed
data_Eu2ZnAs
_chemical_formula_sum 'Eu8 Zn4 As4'
_space_group_name_H-M_alt 'F m -3 m'
_space_group_IT_number 225
_space_group_name_Hall '-F 4 2 3'
_cell_length_a 7.440
_cell_length_b 7.440
_cell_length_c 7.440
_cell_angle_alpha 90.00
_cell_angle_beta 90.00
_cell_angle_gamma 90.00
loop_
_atom_site_label
_atom_site_fract_x
_atom_site_fract_y
_atom_site_fract_z
Eu1 0.250 0.250 0.250
Zn1 0.000 0.000 0.000
As1 0.000 0.000 0.500
# M_tot ... 3.69 μB/atom
# E_form ... -0.674 eV/atom
# Energy relative to the lowest polymorph listed for this composition ... 33 meV per atom
# Total energy ... -7.29 eV per atom

Ordered DOS at the Fermi energy results: 20.77; 3.01; 3.86; 2.20; 9.58; 18.73; 12.02; 39.33; 12.32; 6.22; 2.00; 3.96; 4.97; 19.04; 8.41; 4.66; 3.24; 9.84; 6.25; 3.08; unit states/eV/f.u..